1.
Below is a relaxed structure of AsBr, with properties calculated at the PBE level. Values from VASP.

The structure in Quantum ESPRESSO input format:
```
&SYSTEM
  ibrav = 0, nat = 32, ntyp = 2
/
ATOMIC_SPECIES
As 74.92 As.upf
Br 79.90 Br.upf
CELL_PARAMETERS angstrom
7.9169 0.0000 0.0000
0.0000 18.1829 0.0000
0.0000 0.0000 10.0244
ATOMIC_POSITIONS crystal
As 0.1053 0.7500 0.2500
As 0.8553 0.0000 0.0000
As 0.3553 0.0000 0.5000
As 0.6447 0.5000 0.0000
As 0.8947 0.2500 0.2500
As 0.3947 0.2500 0.7500
As 0.6447 0.0000 0.5000
As 0.6053 0.7500 0.7500
As 0.8553 0.5000 0.5000
As 0.3947 0.7500 0.2500
As 0.3553 0.5000 0.0000
As 0.6053 0.2500 0.2500
As 0.1053 0.2500 0.7500
As 0.1447 0.5000 0.5000
As 0.1447 0.0000 0.0000
As 0.8947 0.7500 0.7500
Br 0.2500 0.5012 0.7500
Br 0.2500 0.9988 0.7500
Br 0.5000 0.7488 0.5000
Br 0.7500 0.4988 0.7500
Br 0.2500 0.0012 0.2500
Br 0.0000 0.2512 0.0000
Br 0.7500 0.0012 0.7500
Br 0.5000 0.2488 0.0000
Br 0.5000 0.2512 0.5000
Br 0.0000 0.2488 0.5000
Br 0.7500 0.9988 0.2500
Br 0.7500 0.5012 0.2500
Br 0.0000 0.7488 0.0000
Br 0.5000 0.7512 0.0000
Br 0.2500 0.4988 0.2500
Br 0.0000 0.7512 0.5000
```

Results
As for the total energy: -3.07 eV/atom. The calculation puts the relative energy among the computed polymorphs at 31.1 kJ per mole of atoms. The uncorrected formation energy comes out at 0.086 eV per atom. As for the space group: Fddd.

2.
Below is a relaxed structure of As6Br, with properties calculated at the PBE level. Values from VASP.

The structure in Quantum ESPRESSO input format:
```
&SYSTEM
  ibrav = 0, nat = 7, ntyp = 2
/
ATOMIC_SPECIES
As 74.92 As.upf
Br 79.90 Br.upf
CELL_PARAMETERS angstrom
-2.0156 4.3133 -4.2125
-3.0580 -5.4900 -0.9603
-1.1779 2.0795 5.8908
ATOMIC_POSITIONS crystal
As 0.5000 0.2500 0.7500
As 0.2500 0.5000 0.7500
As 0.7500 0.2500 0.5000
As 0.7500 0.5000 0.2500
As 0.2500 0.7500 0.5000
As 0.5000 0.7500 0.2500
Br 0.0000 0.0000 0.0000
```

Results
As for the total energy: -4.05 eV/atom. The uncorrected formation energy comes out at 0.174 eV per atom. As for the space group: Im-3m.

3.
Below is a relaxed structure of AsC3Br, with properties calculated at the PBE level. Values from VASP.

The structure in Quantum ESPRESSO input format:
```
&SYSTEM
  ibrav = 0, nat = 5, ntyp = 3
/
ATOMIC_SPECIES
C 12.01 C.upf
Br 79.90 Br.upf
As 74.92 As.upf
CELL_PARAMETERS angstrom
4.0476 0.0000 0.0000
0.0000 4.0476 0.0000
0.0000 0.0000 4.0476
ATOMIC_POSITIONS crystal
C 0.0000 0.5000 0.0000
C 0.0000 0.0000 0.5000
C 0.5000 0.0000 0.0000
Br 0.0000 0.0000 0.0000
As 0.5000 0.5000 0.5000
```

Results
As for the total energy: -3.25 eV/atom. The calculation puts the relative energy among the computed polymorphs at 62.1 kJ per mole of atoms. The uncorrected formation energy comes out at 3.550 eV per atom. As for the space group: Pm-3m.

4.
Below is a relaxed structure of As3CBr, with properties calculated at the PBE level. Values from VASP.

The structure in Quantum ESPRESSO input format:
```
&SYSTEM
  ibrav = 0, nat = 5, ntyp = 3
/
ATOMIC_SPECIES
Br 79.90 Br.upf
As 74.92 As.upf
C 12.01 C.upf
CELL_PARAMETERS angstrom
4.5225 0.0000 0.0000
0.0000 4.5225 0.0000
0.0000 0.0000 4.5225
ATOMIC_POSITIONS crystal
Br 0.5000 0.5000 0.5000
As 0.5000 0.0000 0.0000
As 0.0000 0.5000 0.0000
As 0.0000 0.0000 0.5000
C 0.0000 0.0000 0.0000
```

Results
As for the total energy: -3.75 eV/atom. The calculation puts the relative energy among the computed polymorphs at 0.0 kJ per mole of atoms. The uncorrected formation energy comes out at 1.215 eV per atom. As for the space group: Pm-3m.

5.
Below is a relaxed structure of AsC2Br, with properties calculated at the PBE level. Values from VASP.

The structure in Quantum ESPRESSO input format:
```
&SYSTEM
  ibrav = 0, nat = 8, ntyp = 3
/
ATOMIC_SPECIES
Br 79.90 Br.upf
C 12.01 C.upf
As 74.92 As.upf
CELL_PARAMETERS angstrom
-3.7771 0.7811 3.9284
-3.8986 -1.9550 -3.3597
-3.1766 -4.2499 1.6485
ATOMIC_POSITIONS crystal
Br 0.7500 0.2500 0.5000
Br 0.0000 0.0000 0.0000
C 0.3750 0.4477 0.7500
C 0.8750 0.8023 0.7500
C 0.1977 0.6250 0.2500
C 0.5523 0.1250 0.2500
As 0.5000 0.5000 0.0000
As 0.2500 0.7500 0.5000
```

Results
As for the total energy: -4.27 eV/atom. The calculation puts the relative energy among the computed polymorphs at 0.0 kJ per mole of atoms. The uncorrected formation energy comes out at 1.921 eV per atom. As for the space group: I-42d.

6.
Below is a relaxed structure of AsC2Br, with properties calculated at the PBE level. Values from VASP.

The structure in Quantum ESPRESSO input format:
```
&SYSTEM
  ibrav = 0, nat = 4, ntyp = 3
/
ATOMIC_SPECIES
Br 79.90 Br.upf
As 74.92 As.upf
C 12.01 C.upf
CELL_PARAMETERS angstrom
0.0000 3.0093 3.0093
3.0093 0.0000 3.0093
3.0093 3.0093 0.0000
ATOMIC_POSITIONS crystal
Br 0.5000 0.5000 0.5000
As 0.0000 0.0000 0.0000
C 0.7500 0.7500 0.7500
C 0.2500 0.2500 0.2500
```

Results
As for the total energy: -3.34 eV/atom. The calculation puts the relative energy among the computed polymorphs at 89.5 kJ per mole of atoms. The uncorrected formation energy comes out at 2.848 eV per atom. As for the space group: Fm-3m.

Question: The highest total energy belongs to which entry?
Answer: AsBr